Y5W2O12 (PBE+U, relaxed); calculated total energy = -163.78 eV per cell; total moment = 1.00 μB per formula unit; space-group type = C2/m
1.0
5.791 0.000 0.000
-2.895 5.922 -1.915
0.000 -0.010 7.615
O Y W
12 5 2
Direct
0.421 0.330 0.085 O
0.909 0.330 0.085 O
0.091 0.670 0.915 O
0.500 0.000 0.819 O
0.902 0.309 0.574 O
0.407 0.309 0.574 O
0.998 0.996 0.207 O
0.579 0.670 0.915 O
0.593 0.691 0.426 O
0.098 0.691 0.426 O
0.500 0.000 0.181 O
0.002 0.004 0.793 O
0.313 0.626 0.179 Y
0.687 0.374 0.821 Y
0.697 0.393 0.361 Y
0.303 0.607 0.639 Y
0.000 0.000 0.500 Y
0.219 0.000 0.000 W
0.781 0.000 0.000 W